# 1
# BaCd3Au2

A relaxed BaCd3Au2 crystal (PBE-GGA, Alexandria via LeMat-Bulk).

Its density of states at the Fermi level is 9.60 states/eV/cell. The value obtained for the energy of formation is -0.41 eV per atom.

The structure belongs to space group C2/m (No. 12); the cell edges are 17.650, 4.584 and 8.811 Å and the angles 90.00°, 116.72° and 90.00°. Symmetry generates all atoms from Ba at (0.147, 0.000, 0.069), Cd at (0.037, 0.000, 0.376), Cd at (0.102, 0.500, 0.693), Cd at (0.183, 0.500, 0.451), Au at (0.016, 0.500, 0.168) and Au at (0.199, 0.000, 0.690).


# 2
# Ba2Cd5Au3

A relaxed Ba2Cd5Au3 crystal (PBE-GGA, Alexandria via LeMat-Bulk).

For the polymorph energy (0 for the lowest one), the calculation gives 27 meV per atom. Its density of states at the Fermi level is 2.89 states/eV/cell. The value obtained for the energy of formation is -0.41 eV per atom.

The structure belongs to space group P-4m2 (No. 115); the cell edges are 4.666, 4.666 and 12.643 Å and the angles 90.00°, 90.00° and 90.00°. Symmetry generates all atoms from Ba at (0.000, 0.500, 0.225), Cd at (0.000, 0.000, 0.500), Cd at (0.000, 0.500, 0.643), Cd at (0.500, 0.500, 0.000), Cd at (0.500, 0.500, 0.500), Au at (0.000, 0.000, 0.000) and Au at (0.000, 0.500, 0.864).


# 3
# Ba2Cd2Au

A relaxed Ba2Cd2Au crystal (PBE-GGA, Alexandria via LeMat-Bulk).

For the polymorph energy (0 for the lowest one), the calculation gives 39 meV per atom. Its density of states at the Fermi level is 15.49 states/eV/cell. The value obtained for the energy of formation is -0.41 eV per atom.

The structure belongs to space group C2/m (No. 12); the cell edges are 12.464, 5.413 and 10.515 Å and the angles 90.00°, 113.42° and 90.00°. Symmetry generates all atoms from Ba at (0.110, 0.000, 0.395), Ba at (0.170, 0.000, 0.035), Cd at (0.027, 0.500, 0.150), Cd at (0.098, 0.500, 0.648) and Au at (0.217, 0.000, 0.736).